Below is an optimized crystal structure of Pr2GaRh, with properties calculated at the PBE level.

```
data_Pr2GaRh
_chemical_formula_sum 'Pr2 Ga1 Rh1'
_space_group_name_H-M_alt 'P 1'
_space_group_IT_number 1
_space_group_name_Hall 'P 1'
_cell_length_a 4.453
_cell_length_b 3.965
_cell_length_c 6.103
_cell_angle_alpha 90.00
_cell_angle_beta 111.40
_cell_angle_gamma 90.00
loop_
_atom_site_label
_atom_site_type_symbol
_atom_site_fract_x
_atom_site_fract_y
_atom_site_fract_z
Pr1 Pr 0.812 0.500 0.624
Pr2 Pr 0.097 0.000 0.194
Ga1 Ga 0.513 0.500 0.026
Rh1 Rh 0.363 0.000 0.725
```

Properties
Energy: -0.2063 Ha/atom
E_form: -0.629 eV per atom
N(E_F): 0.78 states/eV per atom
Space-group type: Amm2



Below is an optimized crystal structure of NaAg2Cl5, with properties calculated at the PBE level.

```
data_NaAg2Cl5
_chemical_formula_sum 'Na2 Ag4 Cl10'
_space_group_name_H-M_alt 'P 1'
_space_group_IT_number 1
_space_group_name_Hall 'P 1'
_cell_length_a 6.160
_cell_length_b 6.766
_cell_length_c 12.188
_cell_angle_alpha 90.00
_cell_angle_beta 90.00
_cell_angle_gamma 117.08
loop_
_atom_site_label
_atom_site_type_symbol
_atom_site_fract_x
_atom_site_fract_y
_atom_site_fract_z
Na1 Na 0.752 0.503 0.750
Na2 Na 0.248 0.497 0.250
Ag1 Ag 0.851 0.702 0.443
Ag2 Ag 0.851 0.702 0.057
Ag3 Ag 0.149 0.298 0.557
Ag4 Ag 0.149 0.298 0.943
Cl1 Cl 0.953 0.907 0.878
Cl2 Cl 0.953 0.907 0.622
Cl3 Cl 0.328 0.655 0.462
Cl4 Cl 0.328 0.655 0.038
Cl5 Cl 0.780 0.561 0.250
Cl6 Cl 0.220 0.439 0.750
Cl7 Cl 0.672 0.345 0.538
Cl8 Cl 0.672 0.345 0.962
Cl9 Cl 0.047 0.093 0.122
Cl10 Cl 0.047 0.093 0.378
```

Properties
Energy: -0.0996 Ha/atom
Formation energy without anion corrections: -0.6793 eV/atom
N(E_F): 0.28 states/eV per atom
Space-group type: Cmcm



Below is an optimized crystal structure of YHfPPb2, with properties calculated at the PBE level.

```
data_YHfPPb2
_chemical_formula_sum 'Y1 Hf1 P1 Pb2'
_space_group_name_H-M_alt 'P 1'
_space_group_IT_number 1
_space_group_name_Hall 'P 1'
_cell_length_a 5.600
_cell_length_b 4.895
_cell_length_c 5.600
_cell_angle_alpha 90.00
_cell_angle_beta 90.00
_cell_angle_gamma 90.00
loop_
_atom_site_label
_atom_site_type_symbol
_atom_site_fract_x
_atom_site_fract_y
_atom_site_fract_z
Pb1 Pb 0.000 0.000 0.500
Pb2 Pb 0.500 0.000 0.000
Y1 Y 0.500 0.500 0.500
Hf1 Hf 0.000 0.000 0.000
P1 P 0.000 0.500 0.000
```

Properties
Energy: -0.2089 Ha/atom
E_form: 0.165 eV per atom
N(E_F): 1.02 states/eV per atom
Space-group type: P4/mmm



Ordered spin magnetization results: 0.00 0.00 0.00; unit μB per atom.